No. 1
DFT (PBE) results for SrTaClO2 after structural relaxation.

Cell lengths 4.9176, 4.9176, 4.3579 Å; angles 90.00, 90.00, 90.00 degrees
With the nearest neighbours (Å) after each atom.
Sites, in units of the cell vectors:
1 Sr 0.0000 0.0000 0.0000  8 O 3.29, 4 Ta 3.48
2 Ta 0.5000 0.5000 0.0000  2 Cl 2.18
3 Cl 0.5000 0.5000 0.5000  2 Ta 2.18
4 O 0.0000 0.5000 0.5000  2 Cl 2.46
5 O 0.5000 0.0000 0.5000  2 Cl 2.46

Summary:
Density of states at the Fermi level ... 3.15 states/eV/cell
Symmetry ... P4/mmm (123)


No. 2
DFT (PBE) results for Sr2TcClO4 after structural relaxation.

Cell lengths 5.2887, 5.2887, 9.0430 Å; angles 112.08, 112.08, 38.00 degrees
With the nearest neighbours (Å) after each atom.
Sites, in units of the cell vectors:
1 Sr 0.1730 0.1730 0.2774  5 O 2.50-2.61
2 Sr 0.8270 0.8270 0.7226  5 O 2.50-2.61
3 Tc 0.0000 0.0000 0.5000  2 O 1.81
4 Cl 0.5000 0.5000 0.0000  4 Sr 2.97
5 O 0.1396 0.1396 0.7035  1 Tc 1.81
6 O 0.3980 0.3980 0.5538  2 Tc 2.15
7 O 0.6020 0.6020 0.4462  2 Tc 2.15
8 O 0.8604 0.8604 0.2965  1 Tc 1.81

Summary:
Symmetry ... C2/m (12)


No. 3
DFT (PBE) results for Sr2Te2ClO6 after structural relaxation.

Cell lengths 6.2131, 6.4131, 6.8139 Å; angles 108.31, 103.12, 100.02 degrees
With the nearest neighbours (Å) after each atom.
Sites, in units of the cell vectors:
1 Sr 0.0196 0.3083 0.2162  5 O 2.47-2.59
2 Sr 0.9804 0.6917 0.7838  5 O 2.47-2.59
3 Te 0.2980 0.2827 0.7772  3 O 1.89-1.93
4 Te 0.7020 0.7173 0.2228  3 O 1.89-1.93
5 Cl 0.5000 0.5000 0.5000  2 Sr 2.96, 2 Te 3.03, 2 O 3.27
6 O 0.0264 0.2923 0.5854  1 Te 1.91
7 O 0.1737 0.1024 0.9172  1 Te 1.89
8 O 0.3078 0.5712 0.9869  1 Te 1.93
9 O 0.6922 0.4288 0.0131  1 Te 1.93
10 O 0.8263 0.8976 0.0828  1 Te 1.89
11 O 0.9736 0.7077 0.4146  1 Te 1.91

Summary:
Density of states at the Fermi level ... 6.30 states/eV/cell
Symmetry ... P-1 (2)


| no. | formation energy without anion corrections (meV/atom) |
| --- | --- |
| 1 | 414 |
| 2 | -2122 |
| 3 | -1750 |